The following is a DFT calculation (GGA-PBE) of a relaxed SiIrSe2 crystal.

```
SiIrSe2
1.0
7.483 0.000 0.000
0.000 3.813 0.000
-1.486 0.000 6.061
Si Ir Se
2 2 4
direct
0.000 0.000 0.000
0.500 0.500 0.000
0.295 0.000 0.940
0.795 0.500 0.940
0.084 0.500 0.715
0.364 0.500 0.285
0.584 0.000 0.715
0.864 0.000 0.285
```

Computed properties:
**Mass density**: 7.3 g cm⁻³
**Total energy**: -5.3436 eV/atom
**Size of the total moment**: 0.00 μB/f.u.

The following is a DFT calculation (GGA-PBE) of a relaxed Mg3BiF crystal.

```
Mg3BiF
1.0
4.731 0.000 0.000
0.000 4.731 0.000
0.000 0.000 4.731
Mg Bi F
3 1 1
direct
0.000 0.000 0.500
0.000 0.500 0.000
0.500 0.000 0.000
0.500 0.500 0.500
0.000 0.000 0.000
```

Computed properties:
**Polymorph energy (0 for the lowest one)**: 0.0 kJ per mole of atoms
**Mass density**: 4.7 g cm⁻³
**Size of the total moment**: 0.00 μB/f.u.

The following is a DFT calculation (GGA-PBE) of a relaxed PrYSc2 crystal.

```
PrYSc2
1.0
5.005 0.000 0.000
0.000 5.005 0.000
0.000 0.000 4.636
Pr Y Sc
1 1 2
direct
0.000 0.000 0.000
0.500 0.500 0.000
0.000 0.500 0.500
0.500 0.000 0.500
```

Computed properties:
**Polymorph energy (0 for the lowest one)**: 0.4 kJ per mole of atoms
**Mass density**: 4.6 g cm⁻³
**ΔE_f**: 0.25 eV/f.u.
**Size of the total moment**: 0.00 μB/f.u.

The following is a DFT calculation (GGA-PBE) of a relaxed Pa2Zn16Pt crystal.

```
Pa2Zn16Pt
1.0
4.479 2.586 4.380
-4.479 2.586 4.380
0.000 -5.172 4.380
Pa Zn Pt
2 16 1
direct
0.000 0.000 0.000
0.326 0.326 0.326
0.017 0.017 0.499
0.017 0.499 0.017
0.157 0.662 0.662
0.307 0.307 0.818
0.307 0.818 0.307
0.368 0.659 0.951
0.368 0.951 0.659
0.499 0.017 0.017
0.659 0.368 0.951
0.659 0.951 0.368
0.662 0.157 0.662
0.662 0.662 0.157
0.760 0.760 0.760
0.818 0.307 0.307
0.951 0.368 0.659
0.951 0.659 0.368
0.549 0.549 0.549
```

Computed properties:
**Mass density**: 9.3 g cm⁻³
**ΔE_f**: -3.52 eV/f.u.
**Size of the total moment**: 0.34 μB/f.u.

The following is a DFT calculation (GGA-PBE) of a relaxed HI3Br2 crystal.

```
HI3Br2
1.0
8.602 -2.653 0.000
8.602 2.653 0.000
-7.976 0.000 13.558
H I Br
2 6 4
direct
0.040 0.960 0.750
0.960 0.040 0.250
0.026 0.698 0.952
0.302 0.974 0.548
0.346 0.654 0.750
0.654 0.346 0.250
0.698 0.026 0.452
0.974 0.302 0.048
0.187 0.448 0.398
0.448 0.187 0.898
0.552 0.813 0.102
0.813 0.552 0.602
```

Computed properties:
**Mass density**: 2.9 g cm⁻³
**Total energy**: -1.8417 eV/atom
**Size of the total moment**: 0.00 μB/f.u.

The following is a DFT calculation (GGA-PBE) of a relaxed In3Te crystal.

```
In3Te
1.0
4.098 0.000 0.000
0.000 5.465 0.000
0.000 0.000 10.174
In Te
6 2
direct
0.000 0.000 0.000
0.000 0.500 0.252
0.000 0.500 0.748
0.500 0.000 0.252
0.500 0.000 0.748
0.500 0.500 0.000
0.000 0.000 0.500
0.500 0.500 0.500
```

Computed properties:
**Mass density**: 6.9 g cm⁻³
**Total energy**: -2.8175 eV/atom
**Size of the total moment**: 0.00 μB/f.u.

The following is a DFT calculation (GGA-PBE) of a relaxed KHg4H12 crystal.

```
KHg4H12
1.0
-4.260 4.260 4.260
4.260 -4.260 4.260
4.260 4.260 -4.260
K Hg H
1 4 12
direct
0.000 0.000 0.000
0.000 0.000 0.500
0.000 0.500 0.000
0.500 0.000 0.000
0.500 0.500 0.500
0.154 0.456 0.610
0.154 0.544 0.699
0.301 0.846 0.456
0.390 0.846 0.544
0.456 0.301 0.846
0.456 0.610 0.154
0.544 0.390 0.846
0.544 0.699 0.154
0.610 0.154 0.456
0.699 0.154 0.544
0.846 0.456 0.301
0.846 0.544 0.390
```

Computed properties:
**Mass density**: 4.6 g cm⁻³
**Total energy**: -2.4786 eV/atom
**Size of the total moment**: 0.00 μB/f.u.

The following is a DFT calculation (GGA-PBE) of a relaxed ZrIr2Cl crystal.

```
ZrIr2Cl
1.0
2.986 0.000 0.000
0.000 3.799 0.000
0.000 0.000 7.979
Zr Ir Cl
1 2 1
direct
0.000 0.000 0.000
0.000 0.000 0.676
0.500 0.500 0.777
0.500 0.500 0.200
```

Computed properties:
**Polymorph energy (0 for the lowest one)**: 6.3 kJ per mole of atoms
**Mass density**: 9.4 g cm⁻³
**Size of the total moment**: 0.00 μB/f.u.

The following is a DFT calculation (GGA-PBE) of a relaxed HfSc2Ni2 crystal.

```
HfSc2Ni2
1.0
3.627 0.000 0.000
0.000 5.871 0.000
0.000 0.000 8.614
Hf Sc Ni
2 4 4
direct
0.000 0.000 0.000
0.500 0.500 0.500
0.000 0.500 0.200
0.000 0.500 0.800
0.500 0.000 0.300
0.500 0.000 0.700
0.000 0.203 0.500
0.000 0.797 0.500
0.500 0.297 0.000
0.500 0.703 0.000
```

Computed properties:
**Polymorph energy (0 for the lowest one)**: 1.7 kJ per mole of atoms
**Mass density**: 7.0 g cm⁻³
**ΔE_f**: -1.63 eV/f.u.
**Size of the total moment**: 0.00 μB/f.u.

The following is a DFT calculation (GGA-PBE) of a relaxed Hf3ScIn crystal.

```
Hf3ScIn
1.0
5.015 0.000 0.000
0.000 5.015 0.000
0.000 0.000 5.015
Hf Sc In
3 1 1
direct
0.000 0.000 0.500
0.000 0.500 0.000
0.500 0.000 0.000
0.000 0.000 0.000
0.500 0.500 0.500
```

Computed properties:
**Polymorph energy (0 for the lowest one)**: 116.3 kJ per mole of atoms
**Mass density**: 9.2 g cm⁻³
**ΔE_f**: 5.78 eV/f.u.
**Size of the total moment**: 0.00 μB/f.u.

The following is a DFT calculation (GGA-PBE) of a relaxed Er3ScZn2 crystal.

```
Er3ScZn2
1.0
4.952 0.000 0.000
0.000 8.924 0.000
0.000 0.000 6.461
Er Sc Zn
6 2 4
direct
0.000 0.051 0.000
0.000 0.334 0.339
0.000 0.666 0.839
0.000 0.949 0.500
0.500 0.182 0.686
0.500 0.818 0.186
0.500 0.448 0.032
0.500 0.552 0.532
0.000 0.349 0.800
0.000 0.651 0.300
0.500 0.154 0.231
0.500 0.846 0.731
```

Computed properties:
**Polymorph energy (0 for the lowest one)**: 0.0 kJ per mole of atoms
**Mass density**: 7.9 g cm⁻³
**ΔE_f**: -1.43 eV/f.u.
**Size of the total moment**: 0.00 μB/f.u.

The following is a DFT calculation (GGA-PBE) of a relaxed Er8Te4As3P crystal.

```
Er8Te4As3P
1.0
4.143 2.392 7.006
-4.143 2.392 7.006
0.000 -4.784 7.006
Er Te As P
8 4 3 1
direct
0.239 0.239 0.239
0.244 0.735 0.735
0.265 0.265 0.756
0.265 0.756 0.265
0.735 0.244 0.735
0.735 0.735 0.244
0.756 0.265 0.265
0.761 0.761 0.761
0.000 0.000 0.000
0.000 0.500 0.500
0.500 0.000 0.500
0.500 0.500 0.000
0.000 0.000 0.500
0.000 0.500 0.000
0.500 0.000 0.000
0.500 0.500 0.500
```

Computed properties:
**Mass density**: 8.4 g cm⁻³
**Total energy**: -5.7468 eV/atom
**Size of the total moment**: 0.00 μB/f.u.